[1]
## LiTaZnO4 (PBE-GGA)

Data for crystalline LiTaZnO4 at its relaxed geometry.

a b c (Å): 5.9992 6.2462 6.1475
angles (deg): 119.48 90.00 118.70
Sites, in units of the cell vectors:
O 0.7187 0.4374 0.2391
O 0.2813 0.5626 0.3017
O 0.7289 0.0144 0.7572
O 0.2855 0.0144 0.7572
O 0.7187 0.4374 0.6983
O 0.2813 0.5626 0.7609
O 0.2711 0.9856 0.2428
O 0.7145 0.9856 0.2428
Ta 0.5000 0.0000 0.0000
Ta 0.5000 0.0000 0.5000
Li 0.1486 0.2971 0.8986
Li 0.8514 0.7029 0.1014
Zn 0.0000 0.5000 0.5000
Zn 0.5000 0.5000 0.5000

Values from the calculation:
space-group type = Imma, No. 74
DFT total energy = -7.2182 eV/atom

---

[2]
## LiZrTaO6 (PBE-GGA)

Data for crystalline LiZrTaO6 at its relaxed geometry.

a b c (Å): 4.6964 5.2899 5.2899
angles (deg): 120.00 90.00 90.00
Sites, in units of the cell vectors:
O 0.2669 0.6385 0.0066
O 0.2669 0.3681 0.3615
O 0.7331 0.3681 0.0066
O 0.7331 0.9934 0.3615
O 0.2669 0.9934 0.6319
O 0.7331 0.6385 0.6319
Ta 0.5000 0.6667 0.3333
Li 0.5000 0.0000 0.0000
Zr 0.0000 0.3333 0.6667

Values from the calculation:
space-group type = P312, No. 149
DFT total energy = -8.1031 eV/atom

---

[3]
## LiTbO2 (PBE-GGA)

Data for crystalline LiTbO2 at its relaxed geometry.

a b c (Å): 3.3835 3.3835 5.9248
angles (deg): 73.41 73.41 60.00
Sites, in units of the cell vectors:
Li 0.4818 0.4818 0.5545
O 0.2690 0.2690 0.1929
O 0.0808 0.0808 0.7575
Tb 0.6683 0.6683 0.9952

Values from the calculation:
space-group type = R3m, No. 160
DFT total energy = -6.8335 eV/atom

---

[4]
## LiTbO2 (PBE-GGA)

Data for crystalline LiTbO2 at its relaxed geometry.

a b c (Å): 4.3459 3.3126 22.9090
angles (deg): 90.00 90.00 90.00
Sites, in units of the cell vectors:
Tb 0.7495 0.2500 0.4511
Tb 0.7495 0.2500 0.0489
Tb 0.2505 0.7500 0.9511
Tb 0.2505 0.7500 0.5489
O 0.7496 0.7500 0.9813
O 0.2504 0.2500 0.4813
O 0.7853 0.7500 0.1233
O 0.7853 0.7500 0.3767
O 0.2147 0.2500 0.8767
O 0.7496 0.7500 0.5187
O 0.2504 0.2500 0.0187
O 0.2147 0.2500 0.6233
Li 0.8336 0.2500 0.3372
Li 0.1664 0.7500 0.8372
Li 0.8336 0.2500 0.1628
Li 0.1664 0.7500 0.6628

Values from the calculation:
space-group type = Pmmn, No. 59
DFT total energy = -6.7111 eV/atom

---

It is found that the E_form (uncorrected) values, taken in the order of the records, are -2236; -2318; -2718; -2596 meV per atom.